Here is a geometry-optimized La4ScCd structure from Alexandria. Energies are from PBE.

Calculated values
Energy of formation from the pure elements ... -0.08 eV/atom
Fermi-level density of states ... 9.497 states/eV/cell
Calculated volume ... 195 Å³/cell
Space-group type ... P4/mmm, No. 123

a = 3.7347 Å, b = 3.7347 Å, c = 13.9698 Å
α = 90.00°, β = 90.00°, γ = 90.00°
With the nearest neighbours (Å) after each atom.
Atoms (fractional coordinates):
La 0.0000 0.0000 0.1548  4 Cd 3.41, 8 La 3.68-3.73
La 0.0000 0.0000 0.8452  4 Cd 3.41, 8 La 3.68-3.73
La 0.5000 0.5000 0.3387  4 Sc 3.47, 8 La 3.68-3.73
La 0.5000 0.5000 0.6613  4 Sc 3.47, 8 La 3.68-3.73
Sc 0.0000 0.0000 0.5000  8 La 3.47, 4 Sc 3.73
Cd 0.5000 0.5000 0.0000  8 La 3.41, 4 Cd 3.73